No. 1
The following is a DFT calculation (PBE) of a relaxed structure of SrTi2Fe.

Cell and atoms, written as CIF:
```
data_SrTi2Fe
_space_group_name_H-M_alt 'P 1'
_space_group_IT_number 1
_space_group_name_Hall 'P 1'
_cell_length_a 7.234
_cell_length_b 7.234
_cell_length_c 7.234
_cell_angle_alpha 127.55
_cell_angle_beta 127.55
_cell_angle_gamma 77.36
loop_
_atom_site_label
_atom_site_type_symbol
_atom_site_fract_x
_atom_site_fract_y
_atom_site_fract_z
_atom_site_occupancy
Sr1 Sr 0.375 0.625 0.750 1
Sr2 Sr 0.625 0.375 0.250 1
Ti1 Ti 0.000 0.000 0.000 1
Ti2 Ti 0.000 0.000 0.500 1
Ti3 Ti 0.000 0.500 0.000 1
Ti4 Ti 0.500 0.000 0.500 1
Fe1 Fe 0.125 0.875 0.250 1
Fe2 Fe 0.875 0.125 0.750 1
```

* magnetic moment: 0.000 μB/atom
* polymorph energy (0 for the lowest one): 62 meV per atom
* Fermi-level density of states: 14.422 states/eV per cell
* energy of formation from the pure elements: 0.858 eV/atom
* V: 28.860 A^3/atom
* space group: No. 141

=====

No. 2
The following is a DFT calculation (PBE) of a relaxed structure of Ta2HgP2.

Cell and atoms, written as CIF:
```
data_Ta2HgP2
_space_group_name_H-M_alt 'P 1'
_space_group_IT_number 1
_space_group_name_Hall 'P 1'
_cell_length_a 7.278
_cell_length_b 7.278
_cell_length_c 3.218
_cell_angle_alpha 90.00
_cell_angle_beta 90.00
_cell_angle_gamma 90.00
loop_
_atom_site_label
_atom_site_type_symbol
_atom_site_fract_x
_atom_site_fract_y
_atom_site_fract_z
_atom_site_occupancy
Ta1 Ta 0.142 0.358 0.000 1
Ta2 Ta 0.358 0.858 0.000 1
Ta3 Ta 0.642 0.142 0.000 1
Ta4 Ta 0.858 0.642 0.000 1
Hg1 Hg 0.000 0.000 0.000 1
Hg2 Hg 0.500 0.500 0.000 1
P1 P 0.142 0.642 0.500 1
P2 P 0.358 0.142 0.500 1
P3 P 0.642 0.858 0.500 1
P4 P 0.858 0.358 0.500 1
```

* magnetic moment: 0.000 μB/atom
* Fermi-level density of states: 1.092 states/eV per cell
* energy of formation from the pure elements: -0.316 eV/atom
* V: 17.044 A^3/atom
* space group: No. 127

=====

No. 3
The following is a DFT calculation (PBE) of a relaxed structure of LaSm2Ag2Pb2.

Cell and atoms, written as CIF:
```
data_LaSm2Ag2Pb2
_space_group_name_H-M_alt 'P 1'
_space_group_IT_number 1
_space_group_name_Hall 'P 1'
_cell_length_a 9.434
_cell_length_b 9.434
_cell_length_c 9.434
_cell_angle_alpha 30.77
_cell_angle_beta 30.77
_cell_angle_gamma 30.77
loop_
_atom_site_label
_atom_site_type_symbol
_atom_site_fract_x
_atom_site_fract_y
_atom_site_fract_z
_atom_site_occupancy
La1 La 0.000 0.000 0.000 1
Sm1 Sm 0.136 0.136 0.136 1
Sm2 Sm 0.864 0.864 0.864 1
Ag1 Ag 0.441 0.441 0.441 1
Ag2 Ag 0.559 0.559 0.559 1
Pb1 Pb 0.265 0.265 0.265 1
Pb2 Pb 0.735 0.735 0.735 1
```

* magnetic moment: 0.000 μB/atom
* Fermi-level density of states: 3.023 states/eV per cell
* energy of formation from the pure elements: -0.343 eV/atom
* V: 27.841 A^3/atom
* space group: No. 166

=====

No. 4
The following is a DFT calculation (PBE) of a relaxed structure of BaTe2Ru.

Cell and atoms, written as CIF:
```
data_BaTe2Ru
_space_group_name_H-M_alt 'P 1'
_space_group_IT_number 1
_space_group_name_Hall 'P 1'
_cell_length_a 3.572
_cell_length_b 3.572
_cell_length_c 8.186
_cell_angle_alpha 90.00
_cell_angle_beta 90.00
_cell_angle_gamma 90.00
loop_
_atom_site_label
_atom_site_type_symbol
_atom_site_fract_x
_atom_site_fract_y
_atom_site_fract_z
_atom_site_occupancy
Ba1 Ba 0.000 0.000 0.000 1
Te1 Te 0.500 0.500 0.310 1
Te2 Te 0.500 0.500 0.690 1
Ru1 Ru 0.000 0.000 0.500 1
```

* magnetic moment: 0.000 μB/atom
* formation energy (no corrections): -106 meV per atom
* polymorph energy (0 for the lowest one): 565 meV per atom
* Fermi-level density of states: 3.990 states/eV per cell
* V: 26.109 A^3/atom
* space group: No. 123

=====

No. 5
The following is a DFT calculation (PBE) of a relaxed structure of Tm4ZrSc.

Cell and atoms, written as CIF:
```
data_Tm4ZrSc
_space_group_name_H-M_alt 'P 1'
_space_group_IT_number 1
_space_group_name_Hall 'P 1'
_cell_length_a 8.238
_cell_length_b 8.238
_cell_length_c 6.061
_cell_angle_alpha 100.32
_cell_angle_beta 100.32
_cell_angle_gamma 116.86
loop_
_atom_site_label
_atom_site_type_symbol
_atom_site_fract_x
_atom_site_fract_y
_atom_site_fract_z
_atom_site_occupancy
Tm1 Tm 0.094 0.714 0.955 1
Tm2 Tm 0.190 0.405 0.636 1
Tm3 Tm 0.286 0.906 0.545 1
Tm4 Tm 0.405 0.190 0.136 1
Tm5 Tm 0.595 0.810 0.864 1
Tm6 Tm 0.714 0.094 0.455 1
Tm7 Tm 0.810 0.595 0.364 1
Tm8 Tm 0.906 0.286 0.045 1
Zr1 Zr 0.001 0.999 0.750 1
Zr2 Zr 0.999 0.001 0.250 1
Sc1 Sc 0.402 0.598 0.250 1
Sc2 Sc 0.598 0.402 0.750 1
```

* magnetic moment: 0.000 μB/atom
* polymorph energy (0 for the lowest one): 0 meV per atom
* Fermi-level density of states: 21.417 states/eV per cell
* energy of formation from the pure elements: 0.153 eV/atom
* V: 28.734 A^3/atom
* space group: No. 15

=====

No. 6
The following is a DFT calculation (PBE) of a relaxed structure of EuThIn2.

Cell and atoms, written as CIF:
```
data_EuThIn2
_space_group_name_H-M_alt 'P 1'
_space_group_IT_number 1
_space_group_name_Hall 'P 1'
_cell_length_a 5.090
_cell_length_b 5.090
_cell_length_c 4.512
_cell_angle_alpha 90.00
_cell_angle_beta 90.00
_cell_angle_gamma 90.00
loop_
_atom_site_label
_atom_site_type_symbol
_atom_site_fract_x
_atom_site_fract_y
_atom_site_fract_z
_atom_site_occupancy
Eu1 Eu 0.000 0.000 0.000 1
Th1 Th 0.500 0.500 0.000 1
In1 In 0.000 0.500 0.500 1
In2 In 0.500 0.000 0.500 1
```

* magnetic moment: 1.859 μB/atom
* polymorph energy (0 for the lowest one): 56 meV per atom
* Fermi-level density of states: 3.236 states/eV per cell
* energy of formation from the pure elements: -0.313 eV/atom
* V: 29.227 A^3/atom
* space group: No. 123

=====

No. 7
The following is a DFT calculation (PBE) of a relaxed structure of YAsHPd2.

Cell and atoms, written as CIF:
```
data_YAsHPd2
_space_group_name_H-M_alt 'P 1'
_space_group_IT_number 1
_space_group_name_Hall 'P 1'
_cell_length_a 4.068
_cell_length_b 4.068
_cell_length_c 4.674
_cell_angle_alpha 90.00
_cell_angle_beta 90.00
_cell_angle_gamma 90.00
loop_
_atom_site_label
_atom_site_type_symbol
_atom_site_fract_x
_atom_site_fract_y
_atom_site_fract_z
_atom_site_occupancy
Y1 Y 0.000 0.000 0.000 1
As1 As 0.500 0.500 0.000 1
H1 H 0.000 0.000 0.500 1
Pd1 Pd 0.000 0.500 0.500 1
Pd2 Pd 0.500 0.000 0.500 1
```

* magnetic moment: 0.000 μB/atom
* VASP energy: -5.60 eV per atom
* Fermi-level density of states: 2.726 states/eV per cell
* V: 15.469 A^3/atom
* space group: No. 123

=====

No. 8
The following is a DFT calculation (PBE) of a relaxed structure of Mg2CrRe.

Cell and atoms, written as CIF:
```
data_Mg2CrRe
_space_group_name_H-M_alt 'P 1'
_space_group_IT_number 1
_space_group_name_Hall 'P 1'
_cell_length_a 4.664
_cell_length_b 4.664
_cell_length_c 5.285
_cell_angle_alpha 92.94
_cell_angle_beta 92.94
_cell_angle_gamma 33.39
loop_
_atom_site_label
_atom_site_type_symbol
_atom_site_fract_x
_atom_site_fract_y
_atom_site_fract_z
_atom_site_occupancy
Mg1 Mg 0.000 0.000 0.000 1
Mg2 Mg 0.245 0.245 0.747 1
Cr1 Cr 0.745 0.745 0.282 1
Re1 Re 0.501 0.501 0.473 1
```

* magnetic moment: 0.107 μB/atom
* polymorph energy (0 for the lowest one): 249 meV per atom
* Fermi-level density of states: 2.813 states/eV per cell
* energy of formation from the pure elements: 0.406 eV/atom
* V: 15.793 A^3/atom
* space group: No. 8

=====

No. 9
The following is a DFT calculation (PBE) of a relaxed structure of PmTmP2.

Cell and atoms, written as CIF:
```
data_PmTmP2
_space_group_name_H-M_alt 'P 1'
_space_group_IT_number 1
_space_group_name_Hall 'P 1'
_cell_length_a 6.991
_cell_length_b 6.991
_cell_length_c 6.991
_cell_angle_alpha 33.62
_cell_angle_beta 33.62
_cell_angle_gamma 33.62
loop_
_atom_site_label
_atom_site_type_symbol
_atom_site_fract_x
_atom_site_fract_y
_atom_site_fract_z
_atom_site_occupancy
Pm1 Pm 0.000 0.000 0.000 1
Tm1 Tm 0.500 0.500 0.500 1
P1 P 0.246 0.246 0.246 1
P2 P 0.754 0.754 0.754 1
```

* magnetic moment: 0.000 μB/atom
* polymorph energy (0 for the lowest one): 0 meV per atom
* Fermi-level density of states: 0.431 states/eV per cell
* energy of formation from the pure elements: -1.576 eV/atom
* V: 23.328 A^3/atom
* space group: No. 166

=====

No. 10
The following is a DFT calculation (PBE) of a relaxed structure of Hf3BeP.

Cell and atoms, written as CIF:
```
data_Hf3BeP
_space_group_name_H-M_alt 'P 1'
_space_group_IT_number 1
_space_group_name_Hall 'P 1'
_cell_length_a 4.760
_cell_length_b 4.760
_cell_length_c 4.760
_cell_angle_alpha 90.00
_cell_angle_beta 90.00
_cell_angle_gamma 90.00
loop_
_atom_site_label
_atom_site_type_symbol
_atom_site_fract_x
_atom_site_fract_y
_atom_site_fract_z
_atom_site_occupancy
Hf1 Hf 0.000 0.000 0.500 1
Hf2 Hf 0.000 0.500 0.000 1
Hf3 Hf 0.500 0.000 0.000 1
Be1 Be 0.500 0.500 0.500 1
P1 P 0.000 0.000 0.000 1
```

* magnetic moment: 0.000 μB/atom
* polymorph energy (0 for the lowest one): 708 meV per atom
* Fermi-level density of states: 4.014 states/eV per cell
* energy of formation from the pure elements: 0.131 eV/atom
* V: 21.576 A^3/atom
* space group: No. 221

=====

No. 11
The following is a DFT calculation (PBE) of a relaxed structure of KZnCr.

Cell and atoms, written as CIF:
```
data_KZnCr
_space_group_name_H-M_alt 'P 1'
_space_group_IT_number 1
_space_group_name_Hall 'P 1'
_cell_length_a 5.090
_cell_length_b 5.090
_cell_length_c 5.090
_cell_angle_alpha 60.00
_cell_angle_beta 60.00
_cell_angle_gamma 60.00
loop_
_atom_site_label
_atom_site_type_symbol
_atom_site_fract_x
_atom_site_fract_y
_atom_site_fract_z
_atom_site_occupancy
K1 K 0.000 0.000 0.000 1
Zn1 Zn 0.250 0.250 0.250 1
Cr1 Cr 0.500 0.500 0.500 1
```

* magnetic moment: 1.639 μB/atom
* polymorph energy (0 for the lowest one): 318 meV per atom
* Fermi-level density of states: 1.444 states/eV per cell
* energy of formation from the pure elements: 0.904 eV/atom
* V: 31.077 A^3/atom
* space group: No. 216

=====

No. 12
The following is a DFT calculation (PBE) of a relaxed structure of K2NaScCl6.

Cell and atoms, written as CIF:
```
data_K2NaScCl6
_space_group_name_H-M_alt 'P 1'
_space_group_IT_number 1
_space_group_name_Hall 'P 1'
_cell_length_a 7.206
_cell_length_b 7.468
_cell_length_c 12.559
_cell_angle_alpha 90.00
_cell_angle_beta 124.88
_cell_angle_gamma 90.00
loop_
_atom_site_label
_atom_site_type_symbol
_atom_site_fract_x
_atom_site_fract_y
_atom_site_fract_z
_atom_site_occupancy
K1 K 0.232 0.062 0.250 1
K2 K 0.232 0.438 0.750 1
K3 K 0.768 0.562 0.250 1
K4 K 0.768 0.938 0.750 1
Na1 Na 0.000 0.000 0.500 1
Na2 Na 0.000 0.500 0.000 1
Sc1 Sc 0.500 0.000 0.000 1
Sc2 Sc 0.500 0.500 0.500 1
Cl1 Cl 0.177 0.189 0.958 1
Cl2 Cl 0.177 0.311 0.458 1
Cl3 Cl 0.270 0.722 0.956 1
Cl4 Cl 0.270 0.778 0.456 1
Cl5 Cl 0.347 0.019 0.764 1
Cl6 Cl 0.347 0.481 0.264 1
Cl7 Cl 0.653 0.519 0.736 1
Cl8 Cl 0.653 0.981 0.236 1
Cl9 Cl 0.730 0.222 0.544 1
Cl10 Cl 0.730 0.278 0.044 1
Cl11 Cl 0.823 0.689 0.542 1
Cl12 Cl 0.823 0.811 0.042 1
```

* magnetic moment: 0.000 μB/atom
* formation energy (no corrections): -2032 meV per atom
* Fermi-level density of states: 0.000 states/eV per cell
* V: 27.723 A^3/atom
* space group: No. 14

=====

No. 13
The following is a DFT calculation (PBE) of a relaxed structure of SrLiNp2O8.

Cell and atoms, written as CIF:
```
data_SrLiNp2O8
_space_group_name_H-M_alt 'P 1'
_space_group_IT_number 1
_space_group_name_Hall 'P 1'
_cell_length_a 5.121
_cell_length_b 5.128
_cell_length_c 7.003
_cell_angle_alpha 88.71
_cell_angle_beta 88.71
_cell_angle_gamma 85.64
loop_
_atom_site_label
_atom_site_type_symbol
_atom_site_fract_x
_atom_site_fract_y
_atom_site_fract_z
_atom_site_occupancy
Sr1 Sr 0.000 0.000 0.000 1
Li1 Li 0.000 0.000 0.500 1
Np1 Np 0.499 0.499 0.256 1
Np2 Np 0.501 0.501 0.744 1
O1 O 0.226 0.770 0.733 1
O2 O 0.227 0.771 0.268 1
O3 O 0.331 0.329 0.489 1
O4 O 0.334 0.331 0.986 1
O5 O 0.666 0.669 0.014 1
O6 O 0.669 0.671 0.511 1
O7 O 0.773 0.229 0.732 1
O8 O 0.774 0.230 0.267 1
```

* magnetic moment: 0.083 μB/atom
* formation energy (no corrections): -2670 meV per atom
* Fermi-level density of states: 6.299 states/eV per cell
* V: 15.274 A^3/atom
* space group: No. 2